1.
DFT (PBE) results for crystalline TbCu8Au3 at its relaxed geometry.

Cell lengths 4.999, 4.999, 8.112 Å; angles 90.00, 90.00, 120.00 degrees
Fractional positions:
1 Tb 0.000 0.000 0.000
2 Cu 0.165 0.331 0.681
3 Cu 0.165 0.835 0.681
4 Cu 0.333 0.667 0.435
5 Cu 0.333 0.667 0.936
6 Cu 0.502 0.005 0.194
7 Cu 0.502 0.498 0.194
8 Cu 0.669 0.835 0.681
9 Cu 0.995 0.498 0.194
10 Au 0.000 0.000 0.377
11 Au 0.667 0.333 0.501
12 Au 0.667 0.333 0.873

Summary:
Crystal system: trigonal
DOS(E_F) (states/eV/cell): 5.8
Total magnetic moment (μB/atom): 0.000
Volume (Å³/cell): 175.6
Total energy (eV per formula unit): -49.013
Energy relative to the elements (eV per atom): -0.148

2.
DFT (PBE) results for crystalline Tb5Cu4Au at its relaxed geometry.

Cell lengths 3.498, 3.498, 17.720 Å; angles 90.00, 90.00, 90.00 degrees
Fractional positions:
1 Tb 0.000 0.000 0.000
2 Tb 0.000 0.000 0.197
3 Tb 0.000 0.000 0.395
4 Tb 0.000 0.000 0.605
5 Tb 0.000 0.000 0.803
6 Cu 0.500 0.500 0.098
7 Cu 0.500 0.500 0.295
8 Cu 0.500 0.500 0.705
9 Cu 0.500 0.500 0.902
10 Au 0.500 0.500 0.500

Summary:
Crystal system: tetragonal
DOS(E_F) (states/eV/cell): 4.2
Total magnetic moment (μB/atom): 0.000
Volume (Å³/cell): 216.8
Total energy (eV per formula unit): -46.423
Energy relative to the elements (eV per atom): -0.361

3.
DFT (PBE) results for crystalline Tb8Cu2Au at its relaxed geometry.

Cell lengths 9.210, 9.210, 6.806 Å; angles 106.12, 106.12, 32.12 degrees
Fractional positions:
1 Tb 0.032 0.032 0.280
2 Tb 0.201 0.201 0.837
3 Tb 0.328 0.328 0.512
4 Tb 0.407 0.407 0.037
5 Tb 0.593 0.593 0.963
6 Tb 0.672 0.672 0.488
7 Tb 0.799 0.799 0.163
8 Tb 0.968 0.968 0.720
9 Cu 0.181 0.181 0.228
10 Cu 0.819 0.819 0.772
11 Au 0.500 0.500 0.500

Summary:
Crystal system: monoclinic
DOS(E_F) (states/eV/cell): 10.3
Total magnetic moment (μB/atom): 0.000
Volume (Å³/cell): 293.8
Total energy (eV per formula unit): -50.881
Energy relative to the elements (eV per atom): -0.215

4.
DFT (PBE) results for crystalline Tb12CuAu6 at its relaxed geometry.

Cell lengths 8.413, 8.413, 8.413 Å; angles 99.39, 99.39, 99.39 degrees
Fractional positions:
1 Tb 0.047 0.682 0.933
2 Tb 0.067 0.953 0.318
3 Tb 0.179 0.427 0.580
4 Tb 0.318 0.067 0.953
5 Tb 0.420 0.821 0.573
6 Tb 0.427 0.580 0.179
7 Tb 0.573 0.420 0.821
8 Tb 0.580 0.179 0.427
9 Tb 0.682 0.933 0.047
10 Tb 0.821 0.573 0.420
11 Tb 0.933 0.047 0.682
12 Tb 0.953 0.318 0.067
13 Cu 0.000 0.000 0.000
14 Au 0.135 0.621 0.305
15 Au 0.305 0.135 0.621
16 Au 0.379 0.695 0.865
17 Au 0.621 0.305 0.135
18 Au 0.695 0.865 0.379
19 Au 0.865 0.379 0.695

Summary:
Crystal system: trigonal
DOS(E_F) (states/eV/cell): 21.0
Total magnetic moment (μB/atom): 0.000
Volume (Å³/cell): 568.4
Total energy (eV per formula unit): -86.998
Energy relative to the elements (eV per atom): -0.404

5.
DFT (PBE) results for crystalline TbCu4Au4 at its relaxed geometry.

Cell lengths 8.184, 8.184, 4.723 Å; angles 90.00, 90.00, 90.00 degrees
Fractional positions:
1 Tb 0.250 0.250 0.250
2 Tb 0.750 0.750 0.750
3 Cu 0.050 0.145 0.749
4 Cu 0.145 0.450 0.751
5 Cu 0.355 0.050 0.751
6 Cu 0.450 0.355 0.749
7 Cu 0.550 0.645 0.251
8 Cu 0.645 0.950 0.249
9 Cu 0.855 0.550 0.249
10 Cu 0.950 0.855 0.251
11 Au 0.101 0.834 0.751
12 Au 0.166 0.601 0.251
13 Au 0.334 0.899 0.251
14 Au 0.399 0.666 0.751
15 Au 0.601 0.334 0.249
16 Au 0.666 0.101 0.749
17 Au 0.834 0.399 0.749
18 Au 0.899 0.166 0.249

Summary:
Crystal system: tetragonal
DOS(E_F) (states/eV/cell): 5.4
Total magnetic moment (μB/atom): 0.000
Volume (Å³/cell): 316.3
Total energy (eV per formula unit): -35.001
Energy relative to the elements (eV per atom): -0.097

6.
DFT (PBE) results for crystalline TbCu6Au at its relaxed geometry.

Cell lengths 4.938, 4.938, 4.938 Å; angles 90.00, 90.00, 90.00 degrees
Fractional positions:
1 Tb 0.000 0.000 0.000
2 Cu 0.000 0.500 0.257
3 Cu 0.000 0.500 0.743
4 Cu 0.257 0.000 0.500
5 Cu 0.500 0.257 0.000
6 Cu 0.500 0.743 0.000
7 Cu 0.743 0.000 0.500
8 Au 0.500 0.500 0.500

Summary:
Crystal system: cubic
DOS(E_F) (states/eV/cell): 3.3
Total magnetic moment (μB/atom): 0.000
Volume (Å³/cell): 120.4
Total energy (eV per formula unit): -32.274
Energy relative to the elements (eV per atom): 0.026

7.
DFT (PBE) results for crystalline TbCu12Au6 at its relaxed geometry.

Cell lengths 7.022, 7.022, 7.022 Å; angles 103.56, 103.56, 103.56 degrees
Fractional positions:
1 Tb 0.000 0.000 0.000
2 Cu 0.106 0.500 0.894
3 Cu 0.106 0.894 0.500
4 Cu 0.113 0.358 0.358
5 Cu 0.358 0.113 0.358
6 Cu 0.358 0.358 0.113
7 Cu 0.500 0.106 0.894
8 Cu 0.500 0.894 0.106
9 Cu 0.642 0.642 0.887
10 Cu 0.642 0.887 0.642
11 Cu 0.887 0.642 0.642
12 Cu 0.894 0.106 0.500
13 Cu 0.894 0.500 0.106
14 Au 0.290 0.290 0.699
15 Au 0.290 0.699 0.290
16 Au 0.301 0.710 0.710
17 Au 0.699 0.290 0.290
18 Au 0.710 0.301 0.710
19 Au 0.710 0.710 0.301

Summary:
Crystal system: trigonal
DOS(E_F) (states/eV/cell): 7.9
Total magnetic moment (μB/atom): 0.000
Volume (Å³/cell): 311.5
Total energy (eV per formula unit): -72.198
Energy relative to the elements (eV per atom): 0.066

8.
DFT (PBE) results for crystalline Tb2CuAu3 at its relaxed geometry.

Cell lengths 3.508, 4.613, 7.950 Å; angles 90.00, 90.00, 90.00 degrees
Fractional positions:
1 Tb 0.000 0.000 0.000
2 Tb 0.000 0.500 0.497
3 Cu 0.500 0.000 0.322
4 Au 0.500 0.000 0.645
5 Au 0.500 0.500 0.183
6 Au 0.500 0.500 0.836

Summary:
Crystal system: orthorhombic
DOS(E_F) (states/eV/cell): 2.9
Total magnetic moment (μB/atom): 0.000
Volume (Å³/cell): 128.6
Total energy (eV per formula unit): -27.212
Energy relative to the elements (eV per atom): -0.671

9.
DFT (PBE) results for crystalline Tb2Cu15Au2 at its relaxed geometry.

Cell lengths 6.555, 6.555, 6.555 Å; angles 83.38, 83.38, 83.38 degrees
Fractional positions:
1 Tb 0.154 0.154 0.154
2 Tb 0.846 0.846 0.846
3 Cu 0.000 0.500 0.500
4 Cu 0.151 0.151 0.661
5 Cu 0.151 0.661 0.151
6 Cu 0.199 0.500 0.801
7 Cu 0.199 0.801 0.500
8 Cu 0.339 0.849 0.849
9 Cu 0.500 0.000 0.500
10 Cu 0.500 0.199 0.801
11 Cu 0.500 0.500 0.000
12 Cu 0.500 0.801 0.199
13 Cu 0.661 0.151 0.151
14 Cu 0.801 0.199 0.500
15 Cu 0.801 0.500 0.199
16 Cu 0.849 0.339 0.849
17 Cu 0.849 0.849 0.339
18 Au 0.391 0.391 0.391
19 Au 0.609 0.609 0.609

Summary:
Crystal system: trigonal
DOS(E_F) (states/eV/cell): 8.1
Total magnetic moment (μB/atom): 0.000
Volume (Å³/cell): 276.5
Total energy (eV per formula unit): -80.124
Energy relative to the elements (eV per atom): -0.151

10.
DFT (PBE) results for crystalline Tb4Cu2Au at its relaxed geometry.

Cell lengths 6.838, 7.818, 7.904 Å; angles 110.37, 108.39, 105.75 degrees
Fractional positions:
1 Tb 0.000 0.000 0.000
2 Tb 0.011 0.480 0.793
3 Tb 0.285 0.510 0.246
4 Tb 0.348 0.841 0.717
5 Tb 0.409 0.140 0.488
6 Tb 0.594 0.573 0.943
7 Tb 0.733 0.327 0.252
8 Tb 0.862 0.957 0.483
9 Cu 0.049 0.747 0.232
10 Cu 0.176 0.374 0.510
11 Cu 0.292 0.211 0.861
12 Cu 0.739 0.226 0.881
13 Au 0.428 0.875 0.126
14 Au 0.686 0.629 0.607

Summary:
Crystal system: triclinic
DOS(E_F) (states/eV/cell): 15.8
Total magnetic moment (μB/atom): 0.000
Volume (Å³/cell): 339.6
Offset from the most stable computed form (meV per atom): 0
Total energy (eV per formula unit): -32.172
Energy relative to the elements (eV per atom): -0.312

11.
DFT (PBE) results for crystalline Tb2CuAu at its relaxed geometry.

Cell lengths 5.744, 4.609, 7.503 Å; angles 90.00, 110.91, 90.00 degrees
Fractional positions:
1 Tb 0.213 0.250 0.427
2 Tb 0.229 0.250 0.928
3 Tb 0.771 0.750 0.072
4 Tb 0.787 0.750 0.573
5 Cu 0.345 0.750 0.704
6 Cu 0.655 0.250 0.296
7 Au 0.338 0.750 0.212
8 Au 0.662 0.250 0.788

Summary:
Crystal system: monoclinic
DOS(E_F) (states/eV/cell): 5.2
Total magnetic moment (μB/atom): 0.000
Volume (Å³/cell): 185.5
Total energy (eV per formula unit): -18.870
Energy relative to the elements (eV per atom): -0.559

12.
DFT (PBE) results for crystalline Tb4Cu2Au at its relaxed geometry.

Cell lengths 8.568, 8.568, 8.568 Å; angles 33.64, 33.64, 33.64 degrees
Fractional positions:
1 Tb 0.122 0.122 0.122
2 Tb 0.373 0.373 0.373
3 Tb 0.627 0.627 0.627
4 Tb 0.878 0.878 0.878
5 Cu 0.252 0.252 0.252
6 Cu 0.748 0.748 0.748
7 Au 0.500 0.500 0.500

Summary:
Crystal system: trigonal
DOS(E_F) (states/eV/cell): 5.4
Total magnetic moment (μB/atom): 0.000
Volume (Å³/cell): 171.9
Offset from the most stable computed form (meV per atom): 27
Total energy (eV per formula unit): -31.985
Energy relative to the elements (eV per atom): -0.285

13.
DFT (PBE) results for crystalline TbCu5Au7 at its relaxed geometry.

Cell lengths 6.951, 6.951, 6.951 Å; angles 135.72, 98.51, 97.82 degrees
Fractional positions:
1 Tb 0.000 0.000 0.000
2 Cu 0.011 0.005 0.503
3 Cu 0.011 0.508 0.006
4 Cu 0.238 0.738 0.500
5 Cu 0.501 0.005 0.994
6 Cu 0.501 0.508 0.497
7 Au 0.211 0.511 0.700
8 Au 0.333 0.333 0.000
9 Au 0.341 0.001 0.339
10 Au 0.660 0.660 0.000
11 Au 0.662 0.001 0.661
12 Au 0.779 0.279 0.500
13 Au 0.811 0.511 0.300

Summary:
Crystal system: orthorhombic
DOS(E_F) (states/eV/cell): 5.0
Total magnetic moment (μB/atom): 0.000
Volume (Å³/cell): 217.2
Total energy (eV per formula unit): -51.187
Energy relative to the elements (eV per atom): -0.241

14.
DFT (PBE) results for crystalline Tb5Cu2Au at its relaxed geometry.

Cell lengths 9.267, 9.267, 9.267 Å; angles 134.56, 134.56, 66.22 degrees
Fractional positions:
1 Tb 0.000 0.000 0.000
2 Tb 0.023 0.523 0.840
3 Tb 0.183 0.023 0.500
4 Tb 0.317 0.817 0.840
5 Tb 0.477 0.317 0.500
6 Tb 0.500 0.500 0.000
7 Tb 0.523 0.683 0.500
8 Tb 0.683 0.183 0.160
9 Tb 0.817 0.977 0.500
10 Tb 0.977 0.477 0.160
11 Cu 0.123 0.377 0.500
12 Cu 0.377 0.877 0.253
13 Cu 0.623 0.123 0.747
14 Cu 0.877 0.623 0.500
15 Au 0.250 0.250 0.000
16 Au 0.750 0.750 0.000

Summary:
Crystal system: tetragonal
DOS(E_F) (states/eV/cell): 23.5
Total magnetic moment (μB/atom): 0.000
Volume (Å³/cell): 397.9
Total energy (eV per formula unit): -37.171
Energy relative to the elements (eV per atom): -0.319

15.
DFT (PBE) results for crystalline Tb2Cu3Au at its relaxed geometry.

Cell lengths 8.478, 8.478, 8.478 Å; angles 153.73, 153.46, 37.69 degrees
Fractional positions:
1 Tb 0.000 0.000 0.000
2 Tb 0.762 0.262 0.500
3 Cu 0.186 0.686 0.500
4 Cu 0.336 0.836 0.500
5 Cu 0.422 0.422 0.000
6 Au 0.584 0.584 0.000

Summary:
Crystal system: orthorhombic
DOS(E_F) (states/eV/cell): 3.1
Total magnetic moment (μB/atom): 0.000
Volume (Å³/cell): 120.3
Offset from the most stable computed form (meV per atom): 31
Total energy (eV per formula unit): -27.095
Energy relative to the elements (eV per atom): -0.378

16.
DFT (PBE) results for crystalline Tb4CuAu3 at its relaxed geometry.

Cell lengths 3.746, 4.654, 10.947 Å; angles 90.00, 90.00, 90.00 degrees
Fractional positions:
1 Tb 0.000 0.000 0.000
2 Tb 0.000 0.500 0.272
3 Tb 0.500 0.000 0.491
4 Tb 0.500 0.500 0.775
5 Cu 0.500 0.000 0.215
6 Au 0.000 0.000 0.723
7 Au 0.000 0.500 0.546
8 Au 0.500 0.500 0.056

Summary:
Crystal system: orthorhombic
DOS(E_F) (states/eV/cell): 6.2
Total magnetic moment (μB/atom): 0.000
Volume (Å³/cell): 190.9
Total energy (eV per formula unit): -38.146
Energy relative to the elements (eV per atom): -0.712

17.
DFT (PBE) results for crystalline Tb3Cu4Au2 at its relaxed geometry.

Cell lengths 5.662, 5.662, 8.362 Å; angles 110.31, 110.31, 46.02 degrees
Fractional positions:
1 Tb 0.000 0.000 0.000
2 Tb 0.337 0.337 0.329
3 Tb 0.663 0.663 0.671
4 Cu 0.056 0.056 0.397
5 Cu 0.271 0.271 0.952
6 Cu 0.729 0.729 0.048
7 Cu 0.944 0.944 0.603
8 Au 0.383 0.383 0.721
9 Au 0.617 0.617 0.279

Summary:
Crystal system: monoclinic
DOS(E_F) (states/eV/cell): 4.4
Total magnetic moment (μB/atom): 0.000
Volume (Å³/cell): 178.6
Total energy (eV per formula unit): -41.008
Energy relative to the elements (eV per atom): -0.464

18.
DFT (PBE) results for crystalline Tb5CuAu4 at its relaxed geometry.

Cell lengths 3.574, 3.574, 18.168 Å; angles 90.00, 90.00, 90.00 degrees
Fractional positions:
1 Tb 0.000 0.000 0.000
2 Tb 0.000 0.000 0.203
3 Tb 0.000 0.000 0.405
4 Tb 0.000 0.000 0.595
5 Tb 0.000 0.000 0.797
6 Cu 0.500 0.500 0.500
7 Au 0.500 0.500 0.102
8 Au 0.500 0.500 0.305
9 Au 0.500 0.500 0.695
10 Au 0.500 0.500 0.898

Summary:
Crystal system: tetragonal
DOS(E_F) (states/eV/cell): 4.5
Total magnetic moment (μB/atom): 0.000
Volume (Å³/cell): 232.1
Total energy (eV per formula unit): -47.636
Energy relative to the elements (eV per atom): -0.728

19.
DFT (PBE) results for crystalline TbThCuAu at its relaxed geometry.

Cell lengths 4.492, 5.919, 5.919 Å; angles 37.81, 90.00, 90.00 degrees
Fractional positions:
1 Tb 0.000 0.000 0.000
2 Th 0.500 0.715 0.715
3 Cu 0.000 0.276 0.276
4 Au 0.500 0.435 0.435

Summary:
Crystal system: orthorhombic
DOS(E_F) (states/eV/cell): 4.5
Total magnetic moment (μB/atom): 0.000
Volume (Å³/cell): 96.5
Offset from the most stable computed form (meV per atom): 0
Total energy (eV per formula unit): -21.224
Energy relative to the elements (eV per atom): -0.450

20.
DFT (PBE) results for crystalline TbThCuAu at its relaxed geometry.

Cell lengths 5.120, 5.120, 5.120 Å; angles 60.00, 60.00, 60.00 degrees
Fractional positions:
1 Tb 0.000 0.000 0.000
2 Th 0.500 0.500 0.500
3 Cu 0.250 0.250 0.250
4 Au 0.750 0.750 0.750

Summary:
Crystal system: cubic
DOS(E_F) (states/eV/cell): 4.0
Total magnetic moment (μB/atom): 0.000
Volume (Å³/cell): 94.9
Offset from the most stable computed form (meV per atom): 58
Total energy (eV per formula unit): -20.991
Energy relative to the elements (eV per atom): -0.392